No. 1
This record from Alexandria via LeMat-Bulk describes a relaxed Hg2SbBr crystal. The functional is PBE-GGA.

Lattice parameters (Å, degrees): 6.1998 6.2010 11.9838 89.96 90.00 90.00
With the nearest neighbours (Å) after each atom.
Atoms (fractional coordinates):
Hg 0.7472 0.0004 0.8797  3 Sb 2.94-3.11, 3 Br 3.05-3.10
Hg 0.2528 0.9996 0.1203  3 Sb 2.94-3.11, 3 Br 3.05-3.10
Hg 0.7472 0.4996 0.6203  3 Sb 2.94-3.11, 3 Br 3.05-3.10
Hg 0.2528 0.5004 0.3797  3 Sb 2.94-3.11, 3 Br 3.05-3.10
Hg 0.7512 0.4985 0.1299  3 Sb 2.94-3.11, 3 Br 3.05-3.10
Hg 0.2488 0.5015 0.8701  3 Sb 2.94-3.11, 3 Br 3.05-3.10
Hg 0.7512 0.0015 0.3701  3 Sb 2.94-3.11, 3 Br 3.05-3.10
Hg 0.2488 0.9985 0.6299  3 Sb 2.94-3.11, 3 Br 3.05-3.10
Sb 0.2482 0.4991 0.6250  6 Hg 2.94-3.11
Sb 0.7518 0.5009 0.3750  6 Hg 2.94-3.11
Sb 0.2482 0.0009 0.8750  6 Hg 2.94-3.11
Sb 0.7518 0.9991 0.1250  6 Hg 2.94-3.11
Br 0.2511 0.0003 0.3752  6 Hg 3.05-3.10
Br 0.7489 0.9997 0.6248  6 Hg 3.05-3.10
Br 0.2511 0.4997 0.1248  6 Hg 3.05-3.10
Br 0.7489 0.5003 0.8752  6 Hg 3.05-3.10

- DFT total energy (hartree per atom) = -0.061
- relative energy among the computed polymorphs (meV per atom) = 135
- size of the total moment (μB per cell) = 0.0
- formation energy from raw total energies (meV/atom) = -69

No. 2
This record from Alexandria via LeMat-Bulk describes a relaxed Hg2SbBr crystal. The functional is PBE-GGA.

Lattice parameters (Å, degrees): 3.5681 3.5681 9.9262 90.00 90.00 117.62
With the nearest neighbours (Å) after each atom.
Atoms (fractional coordinates):
Sb 0.0000 0.0000 0.5075  2 Br 2.96, 2 Hg 3.13
Hg 0.0000 0.0000 0.0000  2 Hg 3.11, 2 Br 3.17
Hg 0.5000 0.5000 0.2525  2 Hg 3.11, 2 Sb 3.13
Br 0.5000 0.5000 0.7400  2 Sb 2.96, 2 Hg 3.17

- DFT total energy (hartree per atom) = -0.057
- relative energy among the computed polymorphs (meV per atom) = 247
- size of the total moment (μB per cell) = 0.0
- formation energy from raw total energies (meV/atom) = 42

No. 3
This record from Alexandria via LeMat-Bulk describes a relaxed HgSbBr2 crystal. The functional is PBE-GGA.

Lattice parameters (Å, degrees): 3.9338 6.2511 6.2511 73.52 71.97 71.97
With the nearest neighbours (Å) after each atom.
Atoms (fractional coordinates):
Hg 0.0000 0.0878 0.9122  2 Br 2.82, 2 Sb 2.85
Sb 0.5000 0.3636 0.6364  2 Br 2.80, 2 Hg 2.85
Br 0.2053 0.6039 0.9950  1 Sb 2.80, 1 Hg 2.82
Br 0.7947 0.0050 0.3961  1 Sb 2.80, 1 Hg 2.82

- DFT total energy (hartree per atom) = -0.081
- relative energy among the computed polymorphs (meV per atom) = 41
- size of the total moment (μB per cell) = 0.0
- formation energy from raw total energies (meV/atom) = -252